Crystalline Mg3Ag2 at its relaxed geometry, computed with PBE.

a = 8.8445 Å, b = 3.3638 Å, c = 3.3638 Å
α = 90.00°, β = 100.96°, γ = 79.04°
Last column: nearest neighbours and their distance in Å.
Fractional coordinates of all 5 atoms:
Ag: 0.0055 0.9973 0.0027  8 Mg 2.86-2.90
Ag: 0.3945 0.8027 0.1973  8 Mg 2.86-2.90
Mg: 0.2000 0.4000 0.6000  8 Ag 2.90, 2 Mg 3.24
Mg: 0.5804 0.2098 0.7902  4 Ag 2.86, 4 Mg 3.13
Mg: 0.8196 0.5902 0.4098  4 Ag 2.86, 4 Mg 3.13

Space-group type ... I4/mmm (139)
Formation enthalpy at 0 K ... -206.1 meV/atom
Total energy ... -11.52 eV/cell
Relative energy among the computed polymorphs ... 0 meV/atom